No. 1
DFT (GGA-PBE) results for Y6Er4Pu after structural relaxation.

a b c (Å): 8.679 8.679 9.139
angles (deg): 90.00 90.00 90.00
Sites, in units of the cell vectors:
Y (0.000, 0.000, 0.172)
Y (0.000, 0.000, 0.828)
Y (0.151, 0.349, 0.000)
Y (0.151, 0.349, 0.500)
Y (0.349, 0.849, 0.000)
Y (0.349, 0.849, 0.500)
Y (0.500, 0.500, 0.328)
Y (0.500, 0.500, 0.672)
Y (0.651, 0.151, 0.000)
Y (0.651, 0.151, 0.500)
Y (0.849, 0.651, 0.000)
Y (0.849, 0.651, 0.500)
Er (0.146, 0.646, 0.250)
Er (0.146, 0.646, 0.750)
Er (0.354, 0.146, 0.250)
Er (0.354, 0.146, 0.750)
Er (0.646, 0.854, 0.250)
Er (0.646, 0.854, 0.750)
Er (0.854, 0.354, 0.250)
Er (0.854, 0.354, 0.750)
Pu (0.000, 0.000, 0.500)
Pu (0.500, 0.500, 0.000)

Space group ... P4/mnc (128)
Magnetization ... 9.59 μB per cell
E_form ... 182 meV/atom

No. 2
DFT (GGA-PBE) results for ZrAs2Br after structural relaxation.

a b c (Å): 5.611 5.611 5.611
angles (deg): 136.54 136.54 63.14
Sites, in units of the cell vectors:
Zr (0.000, 0.000, 0.000)
As (0.250, 0.750, 0.500)
As (0.500, 0.500, 0.000)
Br (0.750, 0.250, 0.500)

E_form (uncorrected) ... 0.01 eV per atom
Space group ... I-4m2 (119)
Magnetization ... 0.00 μB per cell
ΔE to the lowest computed polymorph ... 632 meV per atom

No. 3
DFT (GGA-PBE) results for La2HgSb after structural relaxation.

a b c (Å): 4.475 4.475 8.384
angles (deg): 105.54 105.54 60.10
Sites, in units of the cell vectors:
La (0.246, 0.246, 0.236)
La (0.754, 0.754, 0.764)
Hg (0.000, 0.000, 0.500)
Sb (0.500, 0.500, 0.000)

E_form (uncorrected) ... -0.78 eV per atom
Space group ... C2/m (12)
Magnetization ... 0.00 μB per cell
ΔE to the lowest computed polymorph ... 56 meV per atom

No. 4
DFT (GGA-PBE) results for LiRuW2 after structural relaxation.

a b c (Å): 3.846 3.846 3.929
angles (deg): 90.00 90.00 90.00
Sites, in units of the cell vectors:
Li (0.000, 0.000, 0.000)
Ru (0.500, 0.500, 0.000)
W (0.000, 0.500, 0.500)
W (0.500, 0.000, 0.500)

Space group ... P4/mmm (123)
Magnetization ... 0.00 μB per cell
E_form ... 365 meV/atom

No. 5
DFT (GGA-PBE) results for Be2SbOs after structural relaxation.

a b c (Å): 4.019 4.019 3.250
angles (deg): 90.00 90.00 91.06
Sites, in units of the cell vectors:
Be (0.000, 0.500, 0.000)
Be (0.500, 0.000, 0.000)
Sb (0.000, 0.000, 0.500)
Os (0.500, 0.500, 0.500)

E_form (uncorrected) ... 0.37 eV per atom
Space group ... Cmmm (65)
Magnetization ... 0.00 μB per cell

No. 6
DFT (GGA-PBE) results for Se2I3N2 after structural relaxation.

a b c (Å): 3.859 7.128 9.028
angles (deg): 90.40 102.20 105.38
Sites, in units of the cell vectors:
Se (0.198, 0.384, 0.007)
Se (0.802, 0.616, 0.993)
I (0.135, 0.126, 0.649)
I (0.500, 0.000, 0.000)
I (0.865, 0.874, 0.351)
N (0.147, 0.861, 0.570)
N (0.853, 0.139, 0.430)

E_form (uncorrected) ... 1.07 eV per atom
Space group ... P-1 (2)
Magnetization ... 0.00 μB per cell